Here is a relaxed structure of Li3Cd2Rh2 from the Alexandria database. Energies are from PBE.

POSCAR file:
```
Li3Cd2Rh2
1.0
-0.3578 -2.8403 3.4356
-1.3154 -1.8232 -1.6443
8.3086 -2.3768 -4.0115
Rh Li Cd
2 3 2
Cartesian
5.6807 -4.1557 0.0633 Rh
2.2702 -1.0614 -0.6392 Rh
0.0000 0.0000 0.0000 Li
4.5675 -2.1340 -1.2878 Li
3.3834 -3.0832 0.7119 Li
0.5269 -2.9698 0.5122 Cd
6.1085 -4.0705 -2.7324 Cd
```

Properties
The calculation puts the density of states at the Fermi level at 4.09 states/eV/cell. Its space group is P2/m, No. 10. The energy of formation is -0.0895 eV/atom. Its total DFT energy (no corrections) is -3.272 eV per atom. The energy relative to the lowest polymorph listed for this composition comes out at 0.000 eV/atom.